Ta2CrPtN | PBE | relaxed

Energy relative to the elements, uncorrected = -633 meV/atom
E = -10.17 eV/atom

a = 4.232 Å, b = 4.232 Å, c = 3.860 Å
α = 90.00°, β = 90.00°, γ = 90.00°
Site moments in Bohr magnetons follow the coordinates.
Fractional positions:
Cr  0.000  0.000  0.500  0.58
N  0.000  0.000  0.000  0.01
Pt  0.500  0.500  0.500  -0.01
Ta  0.000  0.500  0.000  -0.03
Ta  0.500  0.000  0.000  -0.03

***

Cr2TcPtN | PBE | relaxed

Energy relative to the elements, uncorrected = -244 meV/atom
E = -9.04 eV/atom

a = 3.896 Å, b = 3.896 Å, c = 3.984 Å
α = 90.00°, β = 90.00°, γ = 90.00°
Site moments in Bohr magnetons follow the coordinates.
Fractional positions:
Cr  0.000  0.500  0.000  0.99
Cr  0.500  0.000  0.000  0.99
Tc  0.000  0.000  0.500  -0.40
Pt  0.500  0.500  0.500  -0.01
N  0.000  0.000  0.000  -0.03